The following is a PBE-GGA calculation of a relaxed Pm3DyAg3 crystal, from Alexandria via LeMat-Bulk.

## Properties
Total moment   0.000 μB per atom
ΔE_f   -0.1228 eV per atom

a b c (Å): 7.4157 7.4157 7.1451
angles (deg): 90.84 90.84 94.34
Fractional positions:
1 Pm 0.1786 0.8214 0.0000
2 Pm 0.2689 0.7311 0.5000
3 Pm 0.3623 0.3623 0.1328
4 Pm 0.6377 0.6377 0.8672
5 Pm 0.7311 0.2689 0.5000
6 Pm 0.8214 0.1786 0.0000
7 Dy 0.2545 0.2545 0.6379
8 Dy 0.7455 0.7455 0.3621
9 Ag 0.0062 0.5127 0.7711
10 Ag 0.0684 0.0684 0.3212
11 Ag 0.4873 0.9938 0.2289
12 Ag 0.5127 0.0062 0.7711
13 Ag 0.9316 0.9316 0.6788
14 Ag 0.9938 0.4873 0.2289